# Cs2Os2O5 | OQMD via LeMat-Bulk | PBE | optimized geometry
# magnetic moment: 0.4 μB/f.u.
# final energy: -57.5 eV/cell
data_Cs2Os2O5
_cell_length_a 5.3362
_cell_length_b 5.3377
_cell_length_c 7.1082
_cell_angle_alpha 68.32
_cell_angle_beta 68.29
_cell_angle_gamma 65.15
_symmetry_space_group_name_H-M 'P 1'
_symmetry_Int_Tables_number 1
_symmetry_space_group_name_Hall 'P 1'
loop_
_atom_site_label
_atom_site_fract_x
_atom_site_fract_y
_atom_site_fract_z
_atom_site_occupancy
Cs1 0.0000 0.0000 0.0000 1
Cs2 0.2581 0.2594 0.2587 1
Os1 0.4545 0.4550 0.6314 1
Os2 0.8025 0.8030 0.6335 1
O1 0.0664 0.5647 0.8142 1
O2 0.1915 0.6925 0.4449 1
O3 0.5644 0.5671 0.8140 1
O4 0.5656 0.0674 0.8142 1
O5 0.6913 0.1916 0.4449 1